VASP calculation (PBEsol) on crystalline ScIrS3 at its relaxed geometry.

Computed properties:
The size of the total moment is 1.6 μB per formula unit. The calculation puts the total energy at -5.304 eV/atom. As for the formation energy from raw total energies: 59.1 kJ/mol of atoms. As for the density: 5.30 g cm⁻³. Its space-group type is Pm-3m.

Unit cell a=4.7079 b=4.7079 c=4.7079 alpha=90.00 beta=90.00 gamma=90.00
Last column: nearest neighbours and their distance in Å.
Sites, in units of the cell vectors:
Sc: 0.0000 0.0000 0.0000  6 S 2.35
Ir: 0.5000 0.5000 0.5000  12 S 3.33
S: 0.0000 0.0000 0.5000  2 Sc 2.35
S: 0.0000 0.5000 0.0000  2 Sc 2.35
S: 0.5000 0.0000 0.0000  2 Sc 2.35



VASP calculation (PBEsol) on crystalline Sc3IrS at its relaxed geometry.

Computed properties:
The size of the total moment is 0.0 μB per formula unit. The calculation puts the total energy at -7.356 eV/atom. As for the formation energy from raw total energies: -53.2 kJ/mol of atoms. As for the density: 6.01 g cm⁻³. The value obtained for the energy above the most stable polymorph in this dataset is 0 meV/atom. Its space-group type is Pm-3m.

Unit cell a=4.6300 b=4.6300 c=4.6300 alpha=90.00 beta=90.00 gamma=90.00
Last column: nearest neighbours and their distance in Å.
Sites, in units of the cell vectors:
Sc: 0.0000 0.0000 0.5000  2 S 2.32
Sc: 0.0000 0.5000 0.0000  2 S 2.32
Sc: 0.5000 0.0000 0.0000  2 S 2.32
Ir: 0.5000 0.5000 0.5000  12 Sc 3.27
S: 0.0000 0.0000 0.0000  6 Sc 2.32



VASP calculation (PBEsol) on crystalline Sc3IrS at its relaxed geometry.

Computed properties:
The size of the total moment is 0.0 μB per formula unit. The calculation puts the total energy at -7.131 eV/atom. As for the formation energy from raw total energies: -31.5 kJ/mol of atoms. As for the density: 4.89 g cm⁻³. The value obtained for the energy above the most stable polymorph in this dataset is 225 meV/atom. Its space-group type is Pm-3m.

Unit cell a=4.9600 b=4.9600 c=4.9600 alpha=90.00 beta=90.00 gamma=90.00
Last column: nearest neighbours and their distance in Å.
Sites, in units of the cell vectors:
Sc: 0.0000 0.0000 0.5000  2 Ir 2.48
Sc: 0.0000 0.5000 0.0000  2 Ir 2.48
Sc: 0.5000 0.0000 0.0000  2 Ir 2.48
Ir: 0.0000 0.0000 0.0000  6 Sc 2.48
S: 0.5000 0.5000 0.5000  12 Sc 3.51



VASP calculation (PBEsol) on crystalline Ir3SeS at its relaxed geometry.

Computed properties:
The size of the total moment is 0.0 μB per formula unit. The calculation puts the total energy at -6.450 eV/atom. As for the formation energy from raw total energies: 105.3 kJ/mol of atoms. As for the density: 13.48 g cm⁻³. The value obtained for the energy above the most stable polymorph in this dataset is 0 meV/atom. Its space-group type is Pm-3m.

Unit cell a=4.3922 b=4.3922 c=4.3922 alpha=90.00 beta=90.00 gamma=90.00
Last column: nearest neighbours and their distance in Å.
Sites, in units of the cell vectors:
Ir: 0.0000 0.0000 0.5000  2 S 2.20
Ir: 0.0000 0.5000 0.0000  2 S 2.20
Ir: 0.5000 0.0000 0.0000  2 S 2.20
Se: 0.5000 0.5000 0.5000  12 Ir 3.11
S: 0.0000 0.0000 0.0000  6 Ir 2.20



VASP calculation (PBEsol) on crystalline Ir3SeS at its relaxed geometry.

Computed properties:
The size of the total moment is 0.0 μB per formula unit. The calculation puts the total energy at -5.803 eV/atom. As for the formation energy from raw total energies: 167.7 kJ/mol of atoms. As for the density: 12.16 g cm⁻³. The value obtained for the energy above the most stable polymorph in this dataset is 647 meV/atom. Its space-group type is Pm-3m.

Unit cell a=4.5452 b=4.5452 c=4.5452 alpha=90.00 beta=90.00 gamma=90.00
Last column: nearest neighbours and their distance in Å.
Sites, in units of the cell vectors:
Ir: 0.0000 0.0000 0.5000  2 Se 2.27
Ir: 0.0000 0.5000 0.0000  2 Se 2.27
Ir: 0.5000 0.0000 0.0000  2 Se 2.27
Se: 0.0000 0.0000 0.0000  6 Ir 2.27
S: 0.5000 0.5000 0.5000  12 Ir 3.21



VASP calculation (PBEsol) on crystalline SnIrSe2S at its relaxed geometry.

Computed properties:
The size of the total moment is 0.0 μB per formula unit. The calculation puts the total energy at -4.151 eV/atom. As for the formation energy from raw total energies: 104.4 kJ/mol of atoms. As for the density: 7.82 g cm⁻³. Its space-group type is P4/mmm.

Unit cell a=4.5805 b=4.5805 c=5.0683 alpha=90.00 beta=90.00 gamma=90.00
Last column: nearest neighbours and their distance in Å.
Sites, in units of the cell vectors:
Sn: 0.0000 0.0000 0.0000  2 S 2.53
Ir: 0.5000 0.5000 0.0000  4 Sn 3.24, 8 Se 3.42
Se: 0.0000 0.5000 0.5000  2 S 2.29
Se: 0.5000 0.0000 0.5000  2 S 2.29
S: 0.0000 0.0000 0.5000  4 Se 2.29, 2 Sn 2.53



VASP calculation (PBEsol) on crystalline ZrIrSeS2 at its relaxed geometry.

Computed properties:
The size of the total moment is 0.0 μB per formula unit. The calculation puts the total energy at -5.719 eV/atom. As for the formation energy from raw total energies: 56.6 kJ/mol of atoms. As for the density: 7.26 g cm⁻³. Its space-group type is P4/mmm.

Unit cell a=4.6071 b=4.6071 c=4.5950 alpha=90.00 beta=90.00 gamma=90.00
Last column: nearest neighbours and their distance in Å.
Sites, in units of the cell vectors:
Zr: 0.0000 0.0000 0.0000  8 S 3.25, 4 Ir 3.26
Ir: 0.5000 0.5000 0.0000  2 Se 2.30
Se: 0.5000 0.5000 0.5000  2 Ir 2.30, 4 S 2.30
S: 0.0000 0.5000 0.5000  2 Se 2.30
S: 0.5000 0.0000 0.5000  2 Se 2.30



VASP calculation (PBEsol) on crystalline SiTc2IrS at its relaxed geometry.

Computed properties:
The size of the total moment is 2.5 μB per formula unit. The calculation puts the total energy at -6.934 eV/atom. As for the formation energy from raw total energies: 150.8 kJ/mol of atoms. As for the density: 7.46 g cm⁻³. Its space-group type is P4/mmm.

Unit cell a=4.7503 b=4.7503 c=4.4212 alpha=90.00 beta=90.00 gamma=90.00
Last column: nearest neighbours and their distance in Å.
Sites, in units of the cell vectors:
Si: 0.0000 0.0000 0.0000  2 Ir 2.21
Tc: 0.0000 0.5000 0.5000  2 Ir 2.38
Tc: 0.5000 0.0000 0.5000  2 Ir 2.38
Ir: 0.0000 0.0000 0.5000  2 Si 2.21, 4 Tc 2.38
S: 0.5000 0.5000 0.0000  8 Tc 3.24, 4 Si 3.36



VASP calculation (PBEsol) on crystalline SnIr3S at its relaxed geometry.

Computed properties:
The size of the total moment is 0.0 μB per formula unit. The calculation puts the total energy at -6.858 eV/atom. As for the formation energy from raw total energies: 73.8 kJ/mol of atoms. As for the density: 13.86 g cm⁻³. Its space-group type is Pm-3m.

Unit cell a=4.4339 b=4.4339 c=4.4339 alpha=90.00 beta=90.00 gamma=90.00
Last column: nearest neighbours and their distance in Å.
Sites, in units of the cell vectors:
Sn: 0.0000 0.0000 0.0000  12 Ir 3.14
Ir: 0.0000 0.5000 0.5000  2 S 2.22
Ir: 0.5000 0.0000 0.5000  2 S 2.22
Ir: 0.5000 0.5000 0.0000  2 S 2.22
S: 0.5000 0.5000 0.5000  6 Ir 2.22



VASP calculation (PBEsol) on crystalline TaIrS3 at its relaxed geometry.

Computed properties:
The size of the total moment is 1.0 μB per formula unit. The calculation puts the total energy at -6.318 eV/atom. As for the formation energy from raw total energies: 75.9 kJ/mol of atoms. As for the density: 8.51 g cm⁻³. Its space-group type is Pm-3m.

Unit cell a=4.5083 b=4.5083 c=4.5083 alpha=90.00 beta=90.00 gamma=90.00
Last column: nearest neighbours and their distance in Å.
Sites, in units of the cell vectors:
Ta: 0.0000 0.0000 0.0000  12 S 3.19
Ir: 0.5000 0.5000 0.5000  6 S 2.25
S: 0.0000 0.5000 0.5000  2 Ir 2.25
S: 0.5000 0.0000 0.5000  2 Ir 2.25
S: 0.5000 0.5000 0.0000  2 Ir 2.25



VASP calculation (PBEsol) on crystalline TaTe2IrS at its relaxed geometry.

Computed properties:
The size of the total moment is 2.2 μB per formula unit. The calculation puts the total energy at -5.874 eV/atom. As for the formation energy from raw total energies: 85.7 kJ/mol of atoms. As for the density: 9.13 g cm⁻³. Its space-group type is P4/mmm.

Unit cell a=5.3403 b=5.3403 c=4.2137 alpha=90.00 beta=90.00 gamma=90.00
Last column: nearest neighbours and their distance in Å.
Sites, in units of the cell vectors:
Ta: 0.0000 0.0000 0.0000  8 Te 3.40, 4 S 3.78
Te: 0.0000 0.5000 0.5000  2 Ir 2.67
Te: 0.5000 0.0000 0.5000  2 Ir 2.67
Ir: 0.5000 0.5000 0.5000  2 S 2.11
S: 0.5000 0.5000 0.0000  2 Ir 2.11



VASP calculation (PBEsol) on crystalline Tc3IrS at its relaxed geometry.

Computed properties:
The size of the total moment is 0.0 μB per formula unit. The calculation puts the total energy at -8.971 eV/atom. As for the formation energy from raw total energies: 60.8 kJ/mol of atoms. As for the density: 11.38 g cm⁻³. The value obtained for the energy above the most stable polymorph in this dataset is 0 meV/atom. Its space-group type is Pm-3m.

Unit cell a=4.2286 b=4.2286 c=4.2286 alpha=90.00 beta=90.00 gamma=90.00
Last column: nearest neighbours and their distance in Å.
Sites, in units of the cell vectors:
Tc: 0.0000 0.0000 0.5000  2 S 2.11
Tc: 0.0000 0.5000 0.0000  2 S 2.11
Tc: 0.5000 0.0000 0.0000  2 S 2.11
Ir: 0.5000 0.5000 0.5000  12 Tc 2.99
S: 0.0000 0.0000 0.0000  6 Tc 2.11